No. 1
DFT (PBE) results for a relaxed structure of Pr3Ho7Er2.

Cell: 3.568 5.829 18.801 Å, 92.99 90.00 90.00°
Element x y z (fractional)
Ho1 0.000 0.691 0.144
Ho2 0.500 0.194 0.176
Ho3 0.500 0.806 0.824
Ho4 0.500 0.743 0.462
Ho5 0.500 0.257 0.538
Ho6 0.000 0.309 0.856
Ho7 0.000 0.000 0.000
Er1 0.500 0.711 0.292
Er2 0.500 0.289 0.708
Pr1 0.000 0.778 0.634
Pr2 0.000 0.222 0.366
Pr3 0.500 0.500 0.000

## Properties
Its energy of formation from the pure elements is 0.0884 eV per atom. The calculation puts the energy above the most stable polymorph in this dataset at 0.000 eV per atom. The total magnetic moment comes out at 0.0 μB/f.u.


No. 2
DFT (PBE) results for a relaxed structure of Hf2AsOsBr.

Cell: 4.839 4.758 4.839 Å, 90.00 90.00 90.00°
Element x y z (fractional)
As1 0.000 0.500 0.000
Os1 0.500 0.500 0.500
Br1 0.000 0.000 0.000
Hf1 0.000 0.000 0.500
Hf2 0.500 0.000 0.000

## Properties
The total magnetic moment comes out at 0.6 μB/f.u. Its uncorrected formation energy is 1.452 eV per atom.


No. 3
DFT (PBE) results for a relaxed structure of Zn2SnAu6.

Cell: 4.193 5.251 8.637 Å, 71.68 75.95 66.47°
Element x y z (fractional)
Sn1 0.000 0.500 0.500
Zn1 0.296 0.661 0.747
Zn2 0.704 0.339 0.253
Au1 0.662 0.071 0.604
Au2 0.336 0.273 0.055
Au3 0.338 0.929 0.396
Au4 0.664 0.727 0.945
Au5 0.988 0.192 0.831
Au6 0.012 0.808 0.169

## Properties
Its energy of formation from the pure elements is -0.0838 eV per atom. The calculation puts the energy above the most stable polymorph in this dataset at 0.000 eV per atom. The total magnetic moment comes out at 0.0 μB/f.u.


No. 4
DFT (PBE) results for a relaxed structure of Li3Zn3Au2.

Cell: 4.178 4.837 13.641 Å, 90.00 90.00 115.59°
Element x y z (fractional)
Au1 0.769 0.538 0.857
Au2 0.769 0.538 0.643
Au3 0.231 0.462 0.143
Au4 0.231 0.462 0.357
Li1 0.937 0.874 0.413
Li2 0.804 0.608 0.250
Li3 0.937 0.874 0.087
Li4 0.063 0.126 0.913
Li5 0.063 0.126 0.587
Li6 0.196 0.392 0.750
Zn1 0.488 0.975 0.750
Zn2 0.636 0.271 0.461
Zn3 0.512 0.025 0.250
Zn4 0.364 0.729 0.961
Zn5 0.636 0.271 0.039
Zn6 0.364 0.729 0.539

## Properties
Its energy of formation from the pure elements is -0.2980 eV per atom. The calculation puts the energy above the most stable polymorph in this dataset at 0.049 eV per atom. The total magnetic moment comes out at 0.0 μB/f.u.


No. 5
DFT (PBE) results for a relaxed structure of AlP4.

Cell: 5.008 5.008 5.008 Å, 124.47 124.47 82.41°
Element x y z (fractional)
P1 0.665 0.665 0.000
P2 0.750 0.250 0.500
P3 0.335 0.335 0.000
P4 0.250 0.750 0.500
Al1 0.000 0.000 0.000

## Properties
Its energy of formation from the pure elements is 0.3559 eV per atom. The total magnetic moment comes out at 0.0 μB/f.u.


No. 6
DFT (PBE) results for a relaxed structure of Cr2ReW.

Cell: 5.003 5.003 5.003 Å, 144.91 129.70 62.81°
Element x y z (fractional)
Cr1 0.754 0.254 0.500
Cr2 0.997 0.997 0.000
W1 0.246 0.746 0.500
Re1 0.503 0.503 0.000

## Properties
Its energy of formation from the pure elements is 0.0437 eV per atom. The total magnetic moment comes out at 0.0 μB/f.u.


No. 7
DFT (PBE) results for a relaxed structure of BRu3.

Cell: 2.812 4.503 4.676 Å, 118.78 107.50 90.00°
Element x y z (fractional)
Ru1 0.500 0.385 0.000
Ru2 0.299 0.673 0.598
Ru3 0.701 0.075 0.402
B1 0.000 0.033 0.000

## Properties
Its energy of formation from the pure elements is -0.0529 eV per atom. The total magnetic moment comes out at 0.0 μB/f.u.


No. 8
DFT (PBE) results for a relaxed structure of NaSmY.

Cell: 3.532 3.532 8.554 Å, 101.91 101.91 90.00°
Element x y z (fractional)
Y1 0.674 0.674 0.349
Sm1 0.325 0.325 0.649
Na1 0.001 0.001 0.002

## Properties
Its energy of formation from the pure elements is 0.1457 eV per atom. The calculation puts the energy above the most stable polymorph in this dataset at 0.027 eV per atom. The total magnetic moment comes out at 0.0 μB/f.u.